<1>
This record from Alexandria describes an optimized crystal structure of Si2TePt. The functional is PBE.

Results
N(E_F), states/eV/atom: 0.459
Symmetry: Imm2

a = 5.824 Å, b = 5.824 Å, c = 5.824 Å
α = 150.83°, β = 125.25°, γ = 63.24°
Fractional positions:
Si 0.000 0.000 0.000
Si 0.774 0.274 0.500
Te 0.329 0.829 0.500
Pt 0.581 0.581 0.000

=====

<2>
This record from Alexandria describes an optimized crystal structure of Si2TePt. The functional is PBE.

Results
N(E_F), states/eV/atom: 0.386
Symmetry: Amm2

a = 4.126 Å, b = 4.415 Å, c = 4.415 Å
α = 73.84°, β = 90.00°, γ = 90.00°
Fractional positions:
Si 0.000 0.000 0.000
Si 0.500 0.206 0.206
Te 0.000 0.562 0.562
Pt 0.500 0.804 0.804

=====

Preferred: <2>; penalty for the next structure: 0.342 eV/atom.

=====

<1>
This record from Alexandria describes an optimized crystal structure of Si2TePt. The functional is PBE.

Results
N(E_F), states/eV/atom: 0.177
Symmetry: I-42d

a = 6.961 Å, b = 6.961 Å, c = 6.961 Å
α = 129.59°, β = 129.59°, γ = 74.06°
Fractional positions:
Si 0.066 0.625 0.941
Si 0.375 0.316 0.441
Si 0.684 0.125 0.059
Si 0.875 0.934 0.559
Te 0.250 0.750 0.500
Te 0.500 0.500 0.000
Pt 0.000 0.000 0.000
Pt 0.750 0.250 0.500

=====

<2>
This record from Alexandria describes an optimized crystal structure of Si2TePt. The functional is PBE.

Results
N(E_F), states/eV/atom: 0.471
Symmetry: I4/mmm

a = 4.631 Å, b = 4.631 Å, c = 4.631 Å
α = 109.33°, β = 109.33°, γ = 109.75°
Fractional positions:
Si 0.000 0.500 0.500
Si 0.500 0.000 0.500
Te 0.000 0.000 0.000
Pt 0.500 0.500 0.000

=====

Preferred: <1>; penalty for the next structure: 0.188 eV/atom.

=====

<1>
This record from Alexandria describes an optimized crystal structure of Si2TePt. The functional is PBE.

Results
N(E_F), states/eV/atom: 0.537
Symmetry: P2/m

a = 4.198 Å, b = 4.344 Å, c = 4.232 Å
α = 90.00°, β = 101.49°, γ = 90.00°
Fractional positions:
Si 0.207 0.000 0.303
Si 0.793 0.000 0.697
Te 0.500 0.500 0.000
Pt 0.000 0.500 0.500

=====

<2>
This record from Alexandria describes an optimized crystal structure of Si2TePt. The functional is PBE.

Results
N(E_F), states/eV/atom: 0.498
Symmetry: Immm

a = 5.966 Å, b = 5.966 Å, c = 5.966 Å
α = 151.22°, β = 131.14°, γ = 57.70°
Fractional positions:
Si 0.208 0.208 0.000
Si 0.792 0.792 0.000
Te 0.500 0.000 0.500
Pt 0.000 0.500 0.500

=====

<3>
This record from Alexandria describes an optimized crystal structure of Si2TePt. The functional is PBE.

Results
N(E_F), states/eV/atom: 0.258
Symmetry: P4mm

a = 3.140 Å, b = 3.140 Å, c = 7.850 Å
α = 90.00°, β = 90.00°, γ = 90.00°
Fractional positions:
Si 0.000 0.000 0.000
Si 0.500 0.500 0.178
Te 0.000 0.000 0.535
Pt 0.500 0.500 0.839

=====

Preferred: <1>; penalty for the next structure: 0.168 eV/atom.

=====

<1>
This record from Alexandria describes an optimized crystal structure of SiTePt3. The functional is PBE.

Results
N(E_F), states/eV/atom: 0.443
Symmetry: Pm-3m

a = 4.609 Å, b = 4.609 Å, c = 4.609 Å
α = 90.00°, β = 90.00°, γ = 90.00°
Fractional positions:
Si 0.000 0.000 0.000
Te 0.500 0.500 0.500
Pt 0.000 0.000 0.500
Pt 0.000 0.500 0.000
Pt 0.500 0.000 0.000

=====

<2>
This record from Alexandria describes an optimized crystal structure of SiTePt3. The functional is PBE.

Results
N(E_F), states/eV/atom: 0.292
Symmetry: Pm-3m

a = 4.951 Å, b = 4.951 Å, c = 4.951 Å
α = 90.00°, β = 90.00°, γ = 90.00°
Fractional positions:
Si 0.000 0.000 0.000
Te 0.500 0.500 0.500
Pt 0.000 0.500 0.500
Pt 0.500 0.000 0.500
Pt 0.500 0.500 0.000

=====

Preferred: <1>; penalty for the next structure: 0.785 eV/atom.

=====

<1>
This record from Alexandria describes an optimized crystal structure of Ti2Si2Pt. The functional is PBE.

Results
N(E_F), states/eV/atom: 0.587
Symmetry: P4/mbm

a = 6.232 Å, b = 6.232 Å, c = 3.832 Å
α = 90.00°, β = 90.00°, γ = 90.00°
Fractional positions:
Ti 0.168 0.332 0.000
Ti 0.332 0.832 0.000
Ti 0.668 0.168 0.000
Ti 0.832 0.668 0.000
Si 0.132 0.632 0.500
Si 0.368 0.132 0.500
Si 0.632 0.868 0.500
Si 0.868 0.368 0.500
Pt 0.000 0.000 0.500
Pt 0.500 0.500 0.500

=====

<2>
This record from Alexandria describes an optimized crystal structure of Ti2Si2Pt. The functional is PBE.

Results
N(E_F), states/eV/atom: 0.777
Symmetry: Immm

a = 5.002 Å, b = 5.002 Å, c = 5.002 Å
α = 135.63°, β = 116.75°, γ = 80.50°
Fractional positions:
Ti 0.200 0.200 0.000
Ti 0.800 0.800 0.000
Si 0.218 0.500 0.718
Si 0.782 0.500 0.282
Pt 0.500 0.000 0.500

=====

Preferred: <1>; penalty for the next structure: 0.064 eV/atom.

=====

<1>
This record from Alexandria describes an optimized crystal structure of Ti3SiPt. The functional is PBE.

Results
N(E_F), states/eV/atom: 0.786
Symmetry: Pm-3m

a = 4.526 Å, b = 4.526 Å, c = 4.526 Å
α = 90.00°, β = 90.00°, γ = 90.00°
Fractional positions:
Ti 0.000 0.000 0.500
Ti 0.000 0.500 0.000
Ti 0.500 0.000 0.000
Si 0.000 0.000 0.000
Pt 0.500 0.500 0.500

=====

<2>
This record from Alexandria describes an optimized crystal structure of Ti3SiPt. The functional is PBE.

Results
N(E_F), states/eV/atom: 1.071
Symmetry: Pm-3m

a = 4.751 Å, b = 4.751 Å, c = 4.751 Å
α = 90.00°, β = 90.00°, γ = 90.00°
Fractional positions:
Ti 0.000 0.000 0.500
Ti 0.000 0.500 0.000
Ti 0.500 0.000 0.000
Si 0.500 0.500 0.500
Pt 0.000 0.000 0.000

=====

Preferred: <1>; penalty for the next structure: 0.205 eV/atom.

=====

<1>
This record from Alexandria describes an optimized crystal structure of Tl3SiPt. The functional is PBE.

Results
N(E_F), states/eV/atom: 0.532
Symmetry: Pm-3m

a = 5.331 Å, b = 5.331 Å, c = 5.331 Å
α = 90.00°, β = 90.00°, γ = 90.00°
Fractional positions:
Tl 0.000 0.000 0.500
Tl 0.000 0.500 0.000
Tl 0.500 0.000 0.000
Si 0.500 0.500 0.500
Pt 0.000 0.000 0.000

=====

<2>
This record from Alexandria describes an optimized crystal structure of Tl3SiPt. The functional is PBE.

Results
N(E_F), states/eV/atom: 0.309
Symmetry: Pm-3m

a = 5.193 Å, b = 5.193 Å, c = 5.193 Å
α = 90.00°, β = 90.00°, γ = 90.00°
Fractional positions:
Tl 0.000 0.000 0.500
Tl 0.000 0.500 0.000
Tl 0.500 0.000 0.000
Si 0.000 0.000 0.000
Pt 0.500 0.500 0.500

=====

Preferred: <1>; penalty for the next structure: 0.226 eV/atom.

=====

<1>
This record from Alexandria describes an optimized crystal structure of TlSiPt3. The functional is PBE.

Results
N(E_F), states/eV/atom: 0.372
Symmetry: Pm-3m

a = 5.030 Å, b = 5.030 Å, c = 5.030 Å
α = 90.00°, β = 90.00°, γ = 90.00°
Fractional positions:
Tl 0.000 0.000 0.000
Si 0.500 0.500 0.500
Pt 0.000 0.000 0.500
Pt 0.000 0.500 0.000
Pt 0.500 0.000 0.000

=====

<2>
This record from Alexandria describes an optimized crystal structure of TlSiPt3. The functional is PBE.

Results
N(E_F), states/eV/atom: 1.314
Symmetry: Pm-3m

a = 4.619 Å, b = 4.619 Å, c = 4.619 Å
α = 90.00°, β = 90.00°, γ = 90.00°
Fractional positions:
Tl 0.000 0.000 0.000
Si 0.500 0.500 0.500
Pt 0.000 0.500 0.500
Pt 0.500 0.000 0.500
Pt 0.500 0.500 0.000

=====

Preferred: <2>; penalty for the next structure: 1.364 eV/atom.